First-principles (PBE) data for TbZr2Ga9 after structural relaxation, as listed in Alexandria via LeMat-Bulk.

Geometry as POSCAR:
```
TbZr2Ga9
1.0
4.1986 0.0000 0.0000
0.0000 4.1986 0.0000
0.0000 0.0000 12.4407
Tb Zr Ga
1 2 9
Direct
0.0000 0.0000 0.0000
0.0000 0.0000 0.3392
0.0000 0.0000 0.6608
0.0000 0.5000 0.1744
0.0000 0.5000 0.5000
0.0000 0.5000 0.8256
0.5000 0.0000 0.1744
0.5000 0.0000 0.5000
0.5000 0.0000 0.8256
0.5000 0.5000 0.0000
0.5000 0.5000 0.3351
0.5000 0.5000 0.6649
```

Properties
- space-group type = No. 123
- calculated density (kg/m³) = 7336
- final energy (eV/atom) = -4.5701